1.
A plane-wave DFT calculation with GGA-PBE was carried out for a geometry-optimized Al5Cd structure.

Summary:
Excess energy over the best structure of this formula in the dataset: 128.7 meV/atom
Formation energy from the elements: 0.187 eV per atom
E: -3.085 eV per atom

Geometry as POSCAR:
```
Al5Cd
1.0
0.0000 3.8321 3.8321
3.8321 0.0000 3.8321
3.8321 3.8321 0.0000
Al Cd
5 1
Direct
0.0000 0.0000 0.0000
0.1241 0.6253 0.6253
0.6253 0.1241 0.6253
0.6253 0.6253 0.1241
0.6253 0.6253 0.6253
0.2500 0.2500 0.2500
```

2.
A plane-wave DFT calculation with GGA-PBE was carried out for a geometry-optimized Al2Cd3 structure.

Summary:
Excess energy over the best structure of this formula in the dataset: 54.7 meV/atom
Formation energy from the elements: 0.126 eV per atom
E: -1.920 eV per atom

Geometry as POSCAR:
```
Al2Cd3
1.0
0.0000 10.0754 1.4986
7.1943 0.0000 1.4986
7.1943 10.0754 0.0000
Al Cd
4 6
Direct
0.2012 0.7988 0.3518
0.6018 0.8982 0.4512
0.7988 0.2012 0.6482
0.8982 0.6018 0.0488
0.2681 0.2681 0.7319
0.2683 0.3458 0.4503
0.3144 0.7997 0.9042
0.3458 0.2683 0.9356
0.5181 0.5181 0.9819
0.7997 0.3144 0.9817
```

3.
A plane-wave DFT calculation with GGA-PBE was carried out for a geometry-optimized Al6Cd structure.

Summary:
Formation energy from the elements: 0.696 eV per atom
E: -2.642 eV per atom

Geometry as POSCAR:
```
Al6Cd
1.0
-3.6818 3.6818 3.6818
3.6818 -3.6818 3.6818
3.6818 3.6818 -3.6818
Al Cd
6 1
Direct
0.2500 0.5000 0.7500
0.2500 0.7500 0.5000
0.5000 0.2500 0.7500
0.5000 0.7500 0.2500
0.7500 0.2500 0.5000
0.7500 0.5000 0.2500
0.0000 0.0000 0.0000
```

4.
A plane-wave DFT calculation with GGA-PBE was carried out for a geometry-optimized Al5Cd structure.

Summary:
Excess energy over the best structure of this formula in the dataset: 43.8 meV/atom
Formation energy from the elements: 0.102 eV per atom
E: -3.170 eV per atom

Geometry as POSCAR:
```
Al5Cd
1.0
5.5166 -1.4543 0.0000
5.5166 1.4543 0.0000
-2.3235 0.0000 6.7440
Al Cd
5 1
Direct
0.0000 0.0000 0.0000
0.0343 0.0343 0.6203
0.3189 0.3189 0.6792
0.6377 0.6377 0.3572
0.7063 0.7063 0.9212
0.3563 0.3563 0.2708
```

5.
A plane-wave DFT calculation with GGA-PBE was carried out for a geometry-optimized AlCd6 structure.

Summary:
Formation energy from the elements: 0.571 eV per atom
E: -0.748 eV per atom

Geometry as POSCAR:
```
AlCd6
1.0
-3.9699 3.9699 3.9699
3.9699 -3.9699 3.9699
3.9699 3.9699 -3.9699
Al Cd
1 6
Direct
0.0000 0.0000 0.0000
0.2500 0.5000 0.7500
0.2500 0.7500 0.5000
0.5000 0.2500 0.7500
0.5000 0.7500 0.2500
0.7500 0.2500 0.5000
0.7500 0.5000 0.2500
```

6.
A plane-wave DFT calculation with GGA-PBE was carried out for a geometry-optimized AlCd8 structure.

Summary:
Excess energy over the best structure of this formula in the dataset: 2.2 meV/atom
Formation energy from the elements: 0.051 eV per atom
E: -1.179 eV per atom

Geometry as POSCAR:
```
AlCd8
1.0
-5.9062 5.9062 1.4568
5.9062 -5.9062 1.4568
5.9062 5.9062 -1.4568
Al Cd
1 8
Direct
0.0000 0.0000 0.0000
0.0000 0.3329 0.3329
0.0000 0.6671 0.6671
0.3329 0.0000 0.3329
0.3375 0.3375 0.6749
0.3375 0.6625 0.0000
0.6625 0.3375 0.0000
0.6625 0.6625 0.3251
0.6671 0.0000 0.6671
```

7.
A plane-wave DFT calculation with GGA-PBE was carried out for a geometry-optimized AlCd8 structure.

Summary:
Excess energy over the best structure of this formula in the dataset: 0.0 meV/atom
Formation energy from the elements: 0.049 eV per atom
E: -1.181 eV per atom

Geometry as POSCAR:
```
AlCd8
1.0
-4.7303 4.7303 2.2170
4.7303 -4.7303 2.2170
4.7303 4.7303 -2.2170
Al Cd
1 8
Direct
0.0000 0.0000 0.0000
0.0000 0.3300 0.3300
0.0000 0.6700 0.6700
0.3300 0.0000 0.3300
0.3357 0.3357 0.6713
0.3357 0.6643 0.0000
0.6643 0.3357 0.0000
0.6643 0.6643 0.3287
0.6700 0.0000 0.6700
```

8.
A plane-wave DFT calculation with GGA-PBE was carried out for a geometry-optimized AlCd structure.

Summary:
Formation energy from the elements: 0.170 eV per atom
E: -2.159 eV per atom

Geometry as POSCAR:
```
AlCd
1.0
-4.4598 4.4598 2.1238
4.4598 -4.4598 2.1238
4.4598 4.4598 -2.1238
Al Cd
4 4
Direct
0.1622 0.1622 0.3245
0.1622 0.8378 0.0000
0.8378 0.1622 0.0000
0.8378 0.8378 0.6755
0.1845 0.5000 0.6845
0.5000 0.1845 0.6845
0.5000 0.8155 0.3155
0.8155 0.5000 0.3155
```

9.
A plane-wave DFT calculation with GGA-PBE was carried out for a geometry-optimized Al3Cd2 structure.

Summary:
Excess energy over the best structure of this formula in the dataset: 27.6 meV/atom
Formation energy from the elements: 0.122 eV per atom
E: -2.489 eV per atom

Geometry as POSCAR:
```
Al3Cd2
1.0
2.9792 0.0000 0.0000
-1.3034 6.8100 0.0000
-0.0743 -0.2452 9.8529
Al Cd
6 4
Direct
0.0000 0.0000 0.0000
0.0214 0.0532 0.7050
0.4117 0.8274 0.5191
0.4345 0.8809 0.2243
0.6383 0.2967 0.8816
0.7957 0.5839 0.3423
0.0917 0.1920 0.3816
0.2174 0.4408 0.1118
0.3471 0.6891 0.8424
0.7214 0.4405 0.6121
```

10.
A plane-wave DFT calculation with GGA-PBE was carried out for a geometry-optimized Al3Cd structure.

Summary:
Formation energy from the elements: 0.155 eV per atom
E: -2.880 eV per atom

Geometry as POSCAR:
```
Al3Cd
1.0
5.9322 0.0000 0.0000
-2.9661 5.1374 0.0000
0.0000 0.0000 4.9432
Al Cd
6 2
Direct
0.1578 0.3155 0.2500
0.1578 0.8422 0.2500
0.3155 0.1578 0.7500
0.6845 0.8422 0.2500
0.8422 0.1578 0.7500
0.8422 0.6845 0.7500
0.3333 0.6667 0.7500
0.6667 0.3333 0.2500
```

11.
A plane-wave DFT calculation with GGA-PBE was carried out for a geometry-optimized AlCd structure.

Summary:
Formation energy from the elements: 0.279 eV per atom
E: -2.050 eV per atom

Geometry as POSCAR:
```
AlCd
1.0
4.9334 0.0000 0.0000
-2.4667 4.2724 0.0000
0.0000 0.0000 8.3676
Al Cd
4 4
Direct
0.3333 0.6667 0.0846
0.3333 0.6667 0.4154
0.6667 0.3333 0.5846
0.6667 0.3333 0.9154
0.0000 0.0000 0.2500
0.0000 0.0000 0.7500
0.3333 0.6667 0.7500
0.6667 0.3333 0.2500
```

12.
A plane-wave DFT calculation with GGA-PBE was carried out for a geometry-optimized Al2Cd structure.

Summary:
Formation energy from the elements: 0.200 eV per atom
E: -2.600 eV per atom

Geometry as POSCAR:
```
Al2Cd
1.0
-1.8309 1.8309 4.3861
1.8309 -1.8309 4.3861
1.8309 1.8309 -4.3861
Al Cd
2 1
Direct
0.1723 0.1723 0.0000
0.8277 0.8277 0.0000
0.5000 0.5000 0.0000
```

13.
A plane-wave DFT calculation with GGA-PBE was carried out for a geometry-optimized Al5Cd3 structure.

Summary:
Excess energy over the best structure of this formula in the dataset: 46.2 meV/atom
Formation energy from the elements: 0.207 eV per atom
E: -2.475 eV per atom

Geometry as POSCAR:
```
Al5Cd3
1.0
8.5588 0.0000 0.0000
-4.2794 7.4121 0.0000
0.0000 0.0000 5.0985
Al Cd
10 6
Direct
0.0000 0.1879 0.2500
0.0000 0.8121 0.7500
0.1879 0.0000 0.2500
0.1879 0.1879 0.7500
0.3333 0.6667 0.0000
0.3333 0.6667 0.5000
0.6667 0.3333 0.0000
0.6667 0.3333 0.5000
0.8121 0.0000 0.7500
0.8121 0.8121 0.2500
0.0000 0.3982 0.7500
0.0000 0.6018 0.2500
0.3982 0.0000 0.7500
0.3982 0.3982 0.2500
0.6018 0.0000 0.2500
0.6018 0.6018 0.7500
```

14.
A plane-wave DFT calculation with GGA-PBE was carried out for a geometry-optimized Al5Cd4 structure.

Summary:
Excess energy over the best structure of this formula in the dataset: 0.0 meV/atom
Formation energy from the elements: 0.137 eV per atom
E: -2.349 eV per atom

Geometry as POSCAR:
```
Al5Cd4
1.0
-4.4871 4.4871 2.1883
4.4871 -4.4871 2.1883
4.4871 4.4871 -2.1883
Al Cd
5 4
Direct
0.0000 0.0000 0.0000
0.3385 0.3385 0.6770
0.3385 0.6615 0.0000
0.6615 0.3385 0.0000
0.6615 0.6615 0.3230
0.0000 0.3274 0.3274
0.0000 0.6726 0.6726
0.3274 0.0000 0.3274
0.6726 0.0000 0.6726
```

15.
A plane-wave DFT calculation with GGA-PBE was carried out for a geometry-optimized Al3Cd4 structure.

Summary:
Excess energy over the best structure of this formula in the dataset: 0.0 meV/atom
Formation energy from the elements: 0.161 eV per atom
E: -1.966 eV per atom

Geometry as POSCAR:
```
Al3Cd4
1.0
5.4128 0.0000 0.0000
-2.7064 4.6876 0.0000
0.0000 0.0000 5.8318
Al Cd
3 4
Direct
0.0000 0.5000 0.0000
0.5000 0.0000 0.0000
0.5000 0.5000 0.0000
0.0000 0.0000 0.2600
0.0000 0.0000 0.7400
0.3333 0.6667 0.5000
0.6667 0.3333 0.5000
```

16.
A plane-wave DFT calculation with GGA-PBE was carried out for a geometry-optimized Al2Cd structure.

Summary:
Formation energy from the elements: 0.149 eV per atom
E: -2.651 eV per atom

Geometry as POSCAR:
```
Al2Cd
1.0
-2.1634 2.1634 12.2444
2.1634 -2.1634 12.2444
2.1634 2.1634 -12.2444
Al Cd
8 4
Direct
0.1253 0.3753 0.7500
0.2957 0.5457 0.7500
0.3753 0.1253 0.2500
0.4543 0.7043 0.7500
0.5457 0.2957 0.2500
0.6247 0.8747 0.7500
0.7043 0.4543 0.2500
0.8747 0.6247 0.2500
0.0423 0.7923 0.2500
0.2077 0.9577 0.2500
0.7923 0.0423 0.7500
0.9577 0.2077 0.7500
```

17.
A plane-wave DFT calculation with GGA-PBE was carried out for a geometry-optimized Al2Cd3 structure.

Summary:
Excess energy over the best structure of this formula in the dataset: 164.2 meV/atom
Formation energy from the elements: 0.236 eV per atom
E: -1.810 eV per atom

Geometry as POSCAR:
```
Al2Cd3
1.0
3.2800 1.8937 6.3315
-3.2800 1.8937 6.3315
0.0000 -3.7874 6.3315
Al Cd
4 6
Direct
0.1826 0.1826 0.1826
0.3174 0.3174 0.3174
0.6826 0.6826 0.6826
0.8174 0.8174 0.8174
0.1516 0.7500 0.3484
0.2500 0.6516 0.8484
0.3484 0.1516 0.7500
0.6516 0.8484 0.2500
0.7500 0.3484 0.1516
0.8484 0.2500 0.6516
```

18.
A plane-wave DFT calculation with GGA-PBE was carried out for a geometry-optimized Al2Cd structure.

Summary:
Formation energy from the elements: 0.222 eV per atom
E: -2.579 eV per atom

Geometry as POSCAR:
```
Al2Cd
1.0
-1.4663 2.2231 9.5730
1.4663 -2.2231 9.5730
1.4663 2.2231 -9.5730
Al Cd
4 2
Direct
0.2921 0.0421 0.2500
0.4407 0.1907 0.2500
0.5593 0.8093 0.7500
0.7079 0.9579 0.7500
0.1253 0.3753 0.7500
0.8747 0.6247 0.2500
```

19.
A plane-wave DFT calculation with GGA-PBE was carried out for a geometry-optimized AlCd structure.

Summary:
Formation energy from the elements: 0.173 eV per atom
E: -2.156 eV per atom

Geometry as POSCAR:
```
AlCd
1.0
4.7424 0.0000 0.0000
-2.3712 4.1071 0.0000
0.0000 0.0000 13.7521
Al Cd
6 6
Direct
0.0000 0.0000 0.1010
0.0000 0.0000 0.8990
0.3333 0.6667 0.1681
0.3333 0.6667 0.3633
0.6667 0.3333 0.6367
0.6667 0.3333 0.8319
0.0000 0.0000 0.3079
0.0000 0.0000 0.6921
0.3333 0.6667 0.5698
0.3333 0.6667 0.9232
0.6667 0.3333 0.0768
0.6667 0.3333 0.4302
```

20.
A plane-wave DFT calculation with GGA-PBE was carried out for a geometry-optimized AlCd structure.

Summary:
Formation energy from the elements: 0.143 eV per atom
E: -2.186 eV per atom

Geometry as POSCAR:
```
AlCd
1.0
-1.6173 6.6957 2.8785
1.6173 -6.6957 2.8785
1.6173 6.6957 -2.8785
Al Cd
3 3
Direct
0.0000 0.0000 0.0000
0.6314 0.2740 0.3574
0.9166 0.2740 0.6426
0.0913 0.7663 0.3250
0.4413 0.7663 0.6750
0.4922 0.4922 0.0000
```

21.
A plane-wave DFT calculation with GGA-PBE was carried out for a geometry-optimized Al3Cd structure.

Summary:
Formation energy from the elements: 1.059 eV per atom
E: -1.977 eV per atom

Geometry as POSCAR:
```
Al3Cd
1.0
5.2238 0.0000 0.0000
0.0000 5.2238 0.0000
0.0000 0.0000 5.2238
Al Cd
3 1
Direct
0.0000 0.0000 0.5000
0.0000 0.5000 0.0000
0.5000 0.0000 0.0000
0.0000 0.0000 0.0000
```

22.
A plane-wave DFT calculation with GGA-PBE was carried out for a geometry-optimized Al2Cd structure.

Summary:
Formation energy from the elements: 0.490 eV per atom
E: -2.310 eV per atom

Geometry as POSCAR:
```
Al2Cd
1.0
6.5452 0.0000 0.0000
0.0000 6.5452 0.0000
0.0000 0.0000 6.5452
Al Cd
8 4
Direct
0.1197 0.1197 0.1197
0.1197 0.3803 0.6197
0.3803 0.6197 0.1197
0.3803 0.8803 0.6197
0.6197 0.1197 0.3803
0.6197 0.3803 0.8803
0.8803 0.6197 0.3803
0.8803 0.8803 0.8803
0.0000 0.0000 0.5000
0.0000 0.5000 0.0000
0.5000 0.0000 0.0000
0.5000 0.5000 0.5000
```

23.
A plane-wave DFT calculation with GGA-PBE was carried out for a geometry-optimized Al8Cd structure.

Summary:
Excess energy over the best structure of this formula in the dataset: 0.0 meV/atom
Formation energy from the elements: 0.077 eV per atom
E: -3.351 eV per atom

Geometry as POSCAR:
```
Al8Cd
1.0
-4.4292 4.4292 1.9967
4.4292 -4.4292 1.9967
4.4292 4.4292 -1.9967
Al Cd
8 1
Direct
0.0000 0.3386 0.3386
0.0000 0.6614 0.6614
0.3279 0.3279 0.6559
0.3279 0.6721 0.0000
0.3386 0.0000 0.3386
0.6614 0.0000 0.6614
0.6721 0.3279 0.0000
0.6721 0.6721 0.3441
0.0000 0.0000 0.0000
```

24.
A plane-wave DFT calculation with GGA-PBE was carried out for a geometry-optimized Al3Cd structure.

Summary:
Formation energy from the elements: 0.100 eV per atom
E: -2.936 eV per atom

Geometry as POSCAR:
```
Al3Cd
1.0
2.9116 0.0000 0.0000
0.0000 2.9116 0.0000
0.0000 0.0000 8.6568
Al Cd
3 1
Direct
0.0000 0.0000 0.0000
0.5000 0.5000 0.2355
0.5000 0.5000 0.7645
0.0000 0.0000 0.5000
```